1.
# K2BaSe SCAN single point on PBEsol structure
data_K2BaSe
_symmetry_space_group_name_H-M 'P 1'
_symmetry_Int_Tables_number 1
_cell_length_a 4.108
_cell_length_b 4.108
_cell_length_c 11.478
_cell_angle_alpha 90.00
_cell_angle_beta 90.00
_cell_angle_gamma 90.00
loop_
_symmetry_equiv_pos_as_xyz
'x,y,z'
loop_
_atom_site_label
_atom_site_fract_x
_atom_site_fract_y
_atom_site_fract_z
_atom_site_occupancy
Ba1 0.500 0.500 0.649 1
K1 0.000 0.000 0.989 1
K2 0.500 0.500 0.340 1
Se1 0.000 0.000 0.522 1
# **Space-group type**: P4mm, No. 99

2.
# K3BaSe SCAN single point on PBEsol structure
data_K3BaSe
_symmetry_space_group_name_H-M 'P 1'
_symmetry_Int_Tables_number 1
_cell_length_a 6.401
_cell_length_b 6.401
_cell_length_c 6.401
_cell_angle_alpha 90.00
_cell_angle_beta 90.00
_cell_angle_gamma 90.00
loop_
_symmetry_equiv_pos_as_xyz
'x,y,z'
loop_
_atom_site_label
_atom_site_fract_x
_atom_site_fract_y
_atom_site_fract_z
_atom_site_occupancy
K1 0.000 0.500 0.000 1
K2 0.000 0.000 0.500 1
K3 0.500 0.000 0.000 1
Ba1 0.500 0.500 0.500 1
Se1 0.000 0.000 0.000 1
# **Space-group type**: Pm-3m, No. 221

| no. | ΔE_f (raw) (meV per atom) | final energy (Ry/atom) |
| --- | --- | --- |
| 1 | -957 | -1.47206 |
| 2 | -484 | -1.27939 |